Material: K5PtBrO2
Method: DFT, GGA-PBE
State: relaxed

Properties
**Theoretical density**: 3.18 g/cm³
**Fermi-level density of states**: 2.1 states/eV per cell
**E**: -32.8 eV for the cell shown
**Raw formation energy**: -1.079 eV per atom
**Calculated volume**: 29.19 Å³ per atom

a b c (Å): 5.339 5.339 9.214
angles (deg): 90.00 90.00 90.00
Space group P4/mmm (No. 123)
Symmetry-distinct sites (fractional):
1 K 0.000 0.000 0.000
2 K 0.000 0.500 0.291
3 Pt 0.000 0.000 0.500
4 Br 0.500 0.500 0.000
5 O 0.000 0.000 0.274